VASP calculation (GGA-PBE) on a geometry-optimized LiTb4Se6 structure.

a = 7.997 Å, b = 7.997 Å, c = 7.997 Å
α = 88.90°, β = 88.90°, γ = 91.10°
Fractional positions:
Se (0.060, 0.916, 0.316)
Se (0.440, 0.816, 0.416)
Se (0.084, 0.316, 0.060)
Se (0.584, 0.440, 0.184)
Se (0.416, 0.560, 0.816)
Se (0.816, 0.584, 0.560)
Se (0.684, 0.060, 0.084)
Se (0.560, 0.184, 0.584)
Se (0.184, 0.416, 0.440)
Se (0.916, 0.684, 0.940)
Se (0.316, 0.940, 0.916)
Se (0.940, 0.084, 0.684)
Tb (0.639, 0.861, 0.750)
Tb (0.250, 0.639, 0.139)
Tb (0.250, 0.250, 0.750)
Tb (0.750, 0.361, 0.861)
Tb (0.139, 0.750, 0.639)
Tb (0.361, 0.139, 0.250)
Tb (0.861, 0.250, 0.361)
Tb (0.750, 0.750, 0.250)
Li (0.500, 0.500, 0.500)
Li (0.000, 0.000, 0.000)

Summary:
The density is 7.3 g cm⁻³. The final energy is -120.1 eV for the cell shown. For the density of states at the Fermi level, the calculation gives 0.453 states/eV/atom. For the spin magnetization, the calculation gives 0.000 μB/atom.